## DyEr2In3Se6 (PBE-GGA)

Data for a relaxed structure of DyEr2In3Se6.

Computed properties:
raw formation energy: -1297 meV per atom
total energy: -0.179 hartree per atom

Cell lengths 7.1460, 7.1460, 8.1107 Å; angles 98.45, 98.45, 120.00 degrees
Sites, in units of the cell vectors:
Se: 0.4045 0.0690 0.2071
Se: 0.2666 0.2666 0.7935
Se: 0.5955 0.9310 0.7929
Se: 0.9310 0.5955 0.7929
Se: 0.7334 0.7334 0.2065
Se: 0.0690 0.4045 0.2071
In: 0.5000 0.5000 0.5000
In: 0.1662 0.8338 0.5000
In: 0.8338 0.1662 0.5000
Er: 0.3333 0.6667 0.0000
Er: 0.6667 0.3333 0.0000
Dy: 0.0000 0.0000 0.0000

## SmDyErIn (PBE-GGA)

Data for a relaxed structure of SmDyErIn.

Computed properties:
total energy: -0.158 hartree per atom
relative energy among the computed polymorphs: 0.00 kJ/mol of atoms

Cell lengths 5.4685, 5.4685, 5.4685 Å; angles 60.00, 60.00, 60.00 degrees
Last column: magnetic moment on the atom in μB.
Sites, in units of the cell vectors:
Er: 0.5000 0.5000 0.5000  0.26
Dy: 0.2500 0.2500 0.2500  0.22
Sm: 0.7500 0.7500 0.7500  0.15
In: 0.0000 0.0000 0.0000  0.00

Which formula does entry 1 have? DyEr2In3Se6

Which formula does entry 2 have? SmDyErIn